{
  "formula": "RbCo3F",
  "functional": "GGA+U",
  "state": "optimized geometry",
  "lattice_angstrom": [[-2.369, -5.028, 1.488], [-1.270, -1.034, -5.516], [5.088, -2.599, -0.684]],
  "species": ["Co", "Co", "Co", "Rb", "F"],
  "frac_coords": [[0.000, 0.500, 0.000], [0.000, 0.000, 0.500], [0.500, 0.000, 0.000], [0.000, 0.000, 0.000], [0.500, 0.500, 0.500]],
  "final_energy_ev_per_atom": -1.773,
  "sg": "Pm-3m, No. 221"
}

=====

{
  "formula": "RbCo2F5",
  "functional": "GGA+U",
  "state": "optimized geometry",
  "lattice_angstrom": [[4.484, 0.000, 0.000], [-2.242, 5.054, 0.000], [0.000, 0.000, 10.459]],
  "species": ["Rb", "Rb", "Co", "Co", "Co", "Co", "F", "F", "F", "F", "F", "F", "F", "F", "F", "F"],
  "frac_coords": [[0.468, 0.936, 0.750], [0.532, 0.064, 0.250], [0.852, 0.704, 0.444], [0.852, 0.704, 0.056], [0.148, 0.296, 0.556], [0.148, 0.296, 0.944], [0.953, 0.906, 0.891], [0.953, 0.906, 0.609], [0.324, 0.649, 0.469], [0.324, 0.649, 0.031], [0.811, 0.623, 0.250], [0.189, 0.377, 0.750], [0.676, 0.351, 0.531], [0.676, 0.351, 0.969], [0.047, 0.094, 0.109], [0.047, 0.094, 0.391]],
  "final_energy_ev_per_atom": -4.800,
  "sg": "Cmcm, No. 63"
}